# 1
A geometry-optimized TaTcSb2 structure, computed with GGA-PBE.

Calculated values
SG: Fm-3m
E above lowest polymorph: 329.5 meV per atom
uncorrected formation energy: 1.033 eV/f.u.

a b c (Å): 4.744 4.744 4.744
angles (deg): 60.00 60.00 60.00
Atoms (fractional coordinates):
Ta 0.000 0.000 0.000
Tc 0.500 0.500 0.500
Sb 0.250 0.250 0.250
Sb 0.750 0.750 0.750


# 2
A geometry-optimized TaTcSb3 structure, computed with GGA-PBE.

Calculated values
SG: Pm-3m
E above lowest polymorph: 0.0 meV per atom
uncorrected formation energy: 5.963 eV/f.u.

a b c (Å): 5.115 5.115 5.115
angles (deg): 90.00 90.00 90.00
Atoms (fractional coordinates):
Ta 0.000 0.000 0.000
Tc 0.500 0.500 0.500
Sb 0.000 0.500 0.500
Sb 0.500 0.000 0.500
Sb 0.500 0.500 0.000


# 3
A geometry-optimized Ta2TcSb2 structure, computed with GGA-PBE.

Calculated values
SG: I4/mmm
E above lowest polymorph: 387.4 meV per atom
uncorrected formation energy: 4.364 eV/f.u.

a b c (Å): 7.533 7.533 7.533
angles (deg): 149.77 149.77 43.28
Atoms (fractional coordinates):
Ta 0.093 0.093 0.000
Ta 0.907 0.907 0.000
Tc 0.500 0.500 0.000
Sb 0.250 0.750 0.500
Sb 0.750 0.250 0.500


# 4
A geometry-optimized TaTc3Sb structure, computed with GGA-PBE.

Calculated values
SG: Pm-3m
E above lowest polymorph: 0.0 meV per atom
uncorrected formation energy: 7.879 eV/f.u.

a b c (Å): 4.775 4.775 4.775
angles (deg): 90.00 90.00 90.00
Atoms (fractional coordinates):
Ta 0.000 0.000 0.000
Tc 0.000 0.000 0.500
Tc 0.000 0.500 0.000
Tc 0.500 0.000 0.000
Sb 0.500 0.500 0.500


# 5
A geometry-optimized TaTcSb2 structure, computed with GGA-PBE.

Calculated values
SG: Cm
E above lowest polymorph: 166.5 meV per atom
uncorrected formation energy: 0.381 eV/f.u.

a b c (Å): 5.185 5.185 5.188
angles (deg): 109.30 109.30 36.51
Atoms (fractional coordinates):
Ta 0.000 0.000 0.000
Tc 0.711 0.711 0.367
Sb 0.240 0.240 0.838
Sb 0.455 0.455 0.484


# 6
A geometry-optimized TaTcSb2 structure, computed with GGA-PBE.

Calculated values
SG: R-3m
E above lowest polymorph: 368.9 meV per atom
uncorrected formation energy: 1.191 eV/f.u.

a b c (Å): 8.942 8.942 8.942
angles (deg): 20.55 20.55 20.55
Atoms (fractional coordinates):
Ta 0.000 0.000 0.000
Tc 0.500 0.500 0.500
Sb 0.244 0.244 0.244
Sb 0.756 0.756 0.756


Which value of uncorrected formation energy does entry 2 give? 5.963 eV/f.u.


Which value of E above lowest polymorph does entry 6 give? 368.9 meV per atom


Which value of E above lowest polymorph does entry 2 give? 0.0 meV per atom